[1]
VASP calculation (PBE) on crystalline BaNi2Hg2 at its relaxed geometry.

The value obtained for the energy is -2.70 eV/atom. As for the energy relative to the elements: 113 meV per atom. The distance to the lowest polymorph of the same formula comes out at 162 meV per atom.

It has space group P4/mbm (No. 127), with a = 7.7370 Å, b = 7.7370 Å, c = 3.5574 Å, α = 90.00°, β = 90.00° and γ = 90.00°. The asymmetric unit holds Ba at (0.0000, 0.0000, 0.0000), Ni at (0.1173, 0.3827, 0.0000) and Hg at (0.1563, 0.6563, 0.5000).

***

[2]
VASP calculation (PBE) on crystalline Nd6AgHg3 at its relaxed geometry.

The value obtained for the energy is -3.53 eV/atom. As for the energy relative to the elements: -293 meV per atom.

It has space group P2_1/m (No. 11), with a = 9.3630 Å, b = 5.4414 Å, c = 11.9886 Å, α = 90.00°, β = 108.56° and γ = 90.00°. The asymmetric unit holds Nd at (0.0290, 0.2500, 0.4085), Nd at (0.1606, 0.7500, 0.1775), Nd at (0.2478, 0.2500, 0.9990), Nd at (0.3523, 0.7500, 0.8152), Nd at (0.3690, 0.2500, 0.3492), Nd at (0.4052, 0.2500, 0.6303), Ag at (0.4510, 0.7500, 0.0951), Hg at (0.0291, 0.7500, 0.8775), Hg at (0.1161, 0.2500, 0.7145) and Hg at (0.2715, 0.7500, 0.4751).

***

[3]
VASP calculation (PBE) on crystalline NaTaC2 at its relaxed geometry.

The value obtained for the energy is -7.04 eV/atom. As for the energy relative to the elements: 864 meV per atom. The distance to the lowest polymorph of the same formula comes out at 0 meV per atom.

It has space group I-42d (No. 122), with a = 5.5906 Å, b = 5.5906 Å, c = 9.8428 Å, α = 90.00°, β = 90.00° and γ = 90.00°. The asymmetric unit holds Na at (0.0000, 0.0000, 0.0000), Ta at (0.0000, 0.0000, 0.5000) and C at (0.1414, 0.2500, 0.6250).

***

[4]
VASP calculation (PBE) on crystalline CeAu3 at its relaxed geometry.

The value obtained for the energy is -4.14 eV/atom. As for the energy relative to the elements: -201 meV per atom.

It has space group I4/mmm (No. 139), with a = 4.1084 Å, b = 4.1084 Å, c = 11.5596 Å, α = 90.00°, β = 90.00° and γ = 90.00°. The asymmetric unit holds Ce at (0.0000, 0.0000, 0.0000), Au at (0.0000, 0.0000, 0.2606) and Au at (0.0000, 0.0000, 0.5000).

***

[5]
VASP calculation (PBE) on crystalline SrMn2Tc at its relaxed geometry.

The value obtained for the energy is -6.60 eV/atom. As for the energy relative to the elements: 1001 meV per atom. The distance to the lowest polymorph of the same formula comes out at 597 meV per atom.

It has space group I-4m2 (No. 119), with a = 4.2536 Å, b = 4.2536 Å, c = 8.6166 Å, α = 90.00°, β = 90.00° and γ = 90.00°. The asymmetric unit holds Sr at (0.0000, 0.0000, 0.0000), Mn at (0.0000, 0.0000, 0.5000), Mn at (0.0000, 0.5000, 0.2500) and Tc at (0.0000, 0.5000, 0.7500).

***

[6]
VASP calculation (PBE) on crystalline CsFeP at its relaxed geometry.

The value obtained for the energy is -5.09 eV/atom. As for the energy relative to the elements: -183 meV per atom.

It has space group I4/mmm (No. 139), with a = 3.7417 Å, b = 3.7417 Å, c = 25.1487 Å, α = 90.00°, β = 90.00° and γ = 90.00°. The asymmetric unit holds Cs at (0.0000, 0.0000, 0.1384), Fe at (0.0000, 0.5000, 0.0000) and P at (0.0000, 0.0000, 0.4453).

***

[7]
VASP calculation (PBE) on crystalline TmPaTcRu at its relaxed geometry.

The value obtained for the energy is -8.75 eV/atom. As for the energy relative to the elements: -352 meV per atom. The distance to the lowest polymorph of the same formula comes out at 61 meV per atom.

It has space group F-43m (No. 216), with a = 6.8147 Å, b = 6.8147 Å, c = 6.8147 Å, α = 90.00°, β = 90.00° and γ = 90.00°. The asymmetric unit holds Tm at (0.0000, 0.0000, 0.0000), Pa at (0.0000, 0.0000, 0.5000), Tc at (0.2500, 0.2500, 0.2500) and Ru at (0.2500, 0.2500, 0.7500).

***

[8]
VASP calculation (PBE) on crystalline ZrTa2V at its relaxed geometry.

The value obtained for the energy is -9.70 eV/atom. As for the energy relative to the elements: 640 meV per atom. The distance to the lowest polymorph of the same formula comes out at 541 meV per atom.

It has space group I-42d (No. 122), with a = 7.4277 Å, b = 7.4277 Å, c = 5.5645 Å, α = 90.00°, β = 90.00° and γ = 90.00°. The asymmetric unit holds Zr at (0.0000, 0.0000, 0.0000), Ta at (0.2205, 0.7500, 0.6250) and V at (0.0000, 0.0000, 0.5000).

***

[9]
VASP calculation (PBE) on crystalline YTi3 at its relaxed geometry.

The value obtained for the energy is -7.33 eV/atom. As for the energy relative to the elements: 208 meV per atom.

It has space group Pmm2 (No. 25), with a = 3.0964 Å, b = 4.7997 Å, c = 5.5569 Å, α = 90.00°, β = 90.00° and γ = 90.00°. The asymmetric unit holds Y at (0.0000, 0.0000, 0.0000), Ti at (0.0000, 0.5000, 0.6508), Ti at (0.5000, 0.0000, 0.4962) and Ti at (0.5000, 0.5000, 0.2233).

***

[10]
VASP calculation (PBE) on crystalline CaAc6Tm at its relaxed geometry.

The value obtained for the energy is -3.86 eV/atom. As for the energy relative to the elements: 30 meV per atom.

It has space group P4/mmm (No. 123), with a = 5.5317 Å, b = 5.5317 Å, c = 11.0630 Å, α = 90.00°, β = 90.00° and γ = 90.00°. The asymmetric unit holds Ca at (0.0000, 0.0000, 0.0000), Ac at (0.0000, 0.5000, 0.2571), Ac at (0.5000, 0.5000, 0.0000), Ac at (0.5000, 0.5000, 0.5000) and Tm at (0.0000, 0.0000, 0.5000).

***

[11]
VASP calculation (PBE) on crystalline Tc2NiTe at its relaxed geometry.

The value obtained for the energy is -7.12 eV/atom. The raw formation energy is 0.297 eV/atom.

It has space group P4/mmm (No. 123), with a = 4.3681 Å, b = 4.3681 Å, c = 3.1573 Å, α = 90.00°, β = 90.00° and γ = 90.00°. The asymmetric unit holds Tc at (0.0000, 0.5000, 0.0000), Ni at (0.0000, 0.0000, 0.5000) and Te at (0.5000, 0.5000, 0.5000).

***

[12]
VASP calculation (PBE) on crystalline Nb2FeAu at its relaxed geometry.

The value obtained for the energy is -7.43 eV/atom. As for the energy relative to the elements: 537 meV per atom.

It has space group I-42d (No. 122), with a = 3.8221 Å, b = 3.8221 Å, c = 19.6114 Å, α = 90.00°, β = 90.00° and γ = 90.00°. The asymmetric unit holds Nb at (0.2421, 0.2500, 0.1250), Fe at (0.0000, 0.0000, 0.0000) and Au at (0.0000, 0.0000, 0.5000).

***

[13]
VASP calculation (PBE) on crystalline YFe2 at its relaxed geometry.

The value obtained for the energy is -7.47 eV/atom. As for the energy relative to the elements: 323 meV per atom.

It has space group Cmcm (No. 63), with a = 4.4920 Å, b = 14.0101 Å, c = 3.2491 Å, α = 90.00°, β = 90.00° and γ = 90.00°. The asymmetric unit holds Y at (0.0000, 0.1026, 0.2500), Fe at (0.0000, 0.2728, 0.7500) and Fe at (0.0000, 0.4317, 0.2500).

***

[14]
VASP calculation (PBE) on crystalline Tb2ThTl2Zn2 at its relaxed geometry.

The value obtained for the energy is -3.53 eV/atom. As for the energy relative to the elements: -106 meV per atom.

It has space group R-3m (No. 166, hexagonal axes), with a = 4.6993 Å, b = 4.6993 Å, c = 29.0246 Å, α = 90.00°, β = 90.00° and γ = 120.00°. The asymmetric unit holds Tb at (0.0000, 0.0000, 0.1278), Th at (0.0000, 0.0000, 0.0000), Tl at (0.0000, 0.0000, 0.2563) and Zn at (0.0000, 0.0000, 0.3904).

***

[15]
VASP calculation (PBE) on crystalline CsLiScI6 at its relaxed geometry.

The value obtained for the energy is -3.12 eV/atom. The raw formation energy is -1.080 eV/atom.

It has space group P312 (No. 149), with a = 7.3265 Å, b = 7.3265 Å, c = 9.2486 Å, α = 90.00°, β = 90.00° and γ = 120.00°. The asymmetric unit holds Cs at (0.0000, 0.0000, 0.0000), Li at (0.6667, 0.3333, 0.5000), Sc at (0.3333, 0.6667, 0.5000) and I at (0.0072, 0.3559, 0.6842).

***

[16]
VASP calculation (PBE) on crystalline NaHCl3 at its relaxed geometry.

The value obtained for the energy is -1.84 eV/atom. The distance to the lowest polymorph of the same formula comes out at 903 meV per atom.

It has space group Pm-3m (No. 221), with a = 5.3888 Å, b = 5.3888 Å, c = 5.3888 Å, α = 90.00°, β = 90.00° and γ = 90.00°. The asymmetric unit holds Na at (0.0000, 0.0000, 0.0000), H at (0.5000, 0.5000, 0.5000) and Cl at (0.0000, 0.0000, 0.5000).

***

[17]
VASP calculation (PBE) on crystalline LaPr2TmIn4 at its relaxed geometry.

The value obtained for the energy is -4.21 eV/atom. As for the energy relative to the elements: -469 meV per atom.

It has space group R-3m (No. 166, hexagonal axes), with a = 5.4659 Å, b = 5.4659 Å, c = 26.9672 Å, α = 90.00°, β = 90.00° and γ = 120.00°. The asymmetric unit holds La at (0.0000, 0.0000, 0.0000), Pr at (0.0000, 0.0000, 0.2487), Tm at (0.0000, 0.0000, 0.5000), In at (0.0000, 0.0000, 0.1271) and In at (0.0000, 0.0000, 0.3774).

***

[18]
VASP calculation (PBE) on crystalline Sc5Cu4 at its relaxed geometry.

The value obtained for the energy is -5.31 eV/atom. As for the energy relative to the elements: 26 meV per atom. The distance to the lowest polymorph of the same formula comes out at 165 meV per atom.

It has space group I4/mmm (No. 139), with a = 8.5522 Å, b = 8.5522 Å, c = 4.3967 Å, α = 90.00°, β = 90.00° and γ = 90.00°. The asymmetric unit holds Sc at (0.0000, 0.0000, 0.0000), Sc at (0.1761, 0.1761, 0.5000) and Cu at (0.0000, 0.3485, 0.0000).

***

[19]
VASP calculation (PBE) on crystalline TlPdSe3 at its relaxed geometry.

The value obtained for the energy is -3.47 eV/atom. The raw formation energy is 0.132 eV/atom. The distance to the lowest polymorph of the same formula comes out at 358 meV per atom.

It has space group Pm-3m (No. 221), with a = 5.0689 Å, b = 5.0689 Å, c = 5.0689 Å, α = 90.00°, β = 90.00° and γ = 90.00°. The asymmetric unit holds Tl at (0.0000, 0.0000, 0.0000), Pd at (0.5000, 0.5000, 0.5000) and Se at (0.0000, 0.5000, 0.5000).

***

[20]
VASP calculation (PBE) on crystalline InTe2Pt at its relaxed geometry.

The value obtained for the energy is -4.02 eV/atom. The raw formation energy is -0.254 eV/atom.

It has space group Cmmm (No. 65), with a = 5.9504 Å, b = 8.9038 Å, c = 4.0447 Å, α = 90.00°, β = 90.00° and γ = 90.00°. The asymmetric unit holds In at (0.0000, 0.0000, 0.0000), Te at (0.0000, 0.2996, 0.5000) and Pt at (0.0000, 0.5000, 0.0000).

***

[21]
VASP calculation (PBE) on crystalline LiIr2Br at its relaxed geometry.

The value obtained for the energy is -4.70 eV/atom. The raw formation energy is 0.623 eV/atom. The distance to the lowest polymorph of the same formula comes out at 523 meV per atom.

It has space group R-3m (No. 166, hexagonal axes), with a = 2.8245 Å, b = 2.8245 Å, c = 27.0858 Å, α = 90.00°, β = 90.00° and γ = 120.00°. The asymmetric unit holds Li at (0.0000, 0.0000, 0.0000), Ir at (0.0000, 0.0000, 0.2521) and Br at (0.0000, 0.0000, 0.5000).

***

[22]
VASP calculation (PBE) on crystalline Li2ZnGa12 at its relaxed geometry.

The value obtained for the energy is -2.83 eV/atom. As for the energy relative to the elements: -67 meV per atom.

It has space group P4/nbm (No. 125, origin choice 2), with a = 6.1537 Å, b = 6.1537 Å, c = 15.4988 Å, α = 90.00°, β = 90.00° and γ = 90.00°. The asymmetric unit holds Li at (0.2500, 0.7500, 0.2369), Zn at (0.2500, 0.7500, 0.5000), Ga at (0.0000, 0.0000, 0.4065), Ga at (0.0861, 0.5861, 0.0693), Ga at (0.2500, 0.2500, 0.1532) and Ga at (0.2500, 0.2500, 0.3123).

***

[23]
VASP calculation (PBE) on crystalline TiAgSe2 at its relaxed geometry.

The value obtained for the energy is -5.09 eV/atom. The raw formation energy is -0.663 eV/atom.

It has space group R3m (No. 160, hexagonal axes), with a = 3.6092 Å, b = 3.6092 Å, c = 21.6592 Å, α = 90.00°, β = 90.00° and γ = 120.00°. The asymmetric unit holds Ti at (0.0000, 0.0000, 0.0000), Ag at (0.0000, 0.0000, 0.8377), Se at (0.0000, 0.0000, 0.4061) and Se at (0.0000, 0.0000, 0.5953).

***

[24]
VASP calculation (PBE) on crystalline Pm5Dy2Ru4 at its relaxed geometry.

The value obtained for the energy is -6.36 eV/atom. As for the energy relative to the elements: 4 meV per atom.

It has space group C2/m (No. 12), with a = 24.2232 Å, b = 3.5033 Å, c = 7.0613 Å, α = 90.00°, β = 90.33° and γ = 90.00°. The asymmetric unit holds Pm at (0.0000, 0.0000, 0.0000), Pm at (0.1323, 0.5000, 0.8440), Pm at (0.2316, 0.5000, 0.2871), Dy at (0.0836, 0.5000, 0.3714), Ru at (0.0269, 0.5000, 0.6970) and Ru at (0.1673, 0.0000, 0.5365).

***

[25]
VASP calculation (PBE) on crystalline Ho4IrPd2 at its relaxed geometry.

The value obtained for the energy is -6.14 eV/atom. As for the energy relative to the elements: -776 meV per atom. The distance to the lowest polymorph of the same formula comes out at 22 meV per atom.

It has space group R-3m (No. 166, hexagonal axes), with a = 4.8651 Å, b = 4.8651 Å, c = 24.0513 Å, α = 90.00°, β = 90.00° and γ = 120.00°. The asymmetric unit holds Ho at (0.0000, 0.0000, 0.1226), Ho at (0.0000, 0.0000, 0.3733), Ir at (0.0000, 0.0000, 0.0000) and Pd at (0.0000, 0.0000, 0.2487).